# 1
# AlReSe2N, PBEsol geometry, DFT meta-GGA SCAN
data_AlReSe2N
_chemical_formula_sum 'Al1 Re1 Se2 N1'
_cell_length_a 5.005
_cell_length_b 5.005
_cell_length_c 3.708
_cell_angle_alpha 90.00
_cell_angle_beta 90.00
_cell_angle_gamma 90.00
_space_group_name_H-M_alt 'P 4/m m m'
_space_group_IT_number 123
_space_group_name_Hall '-P 4 2'
loop_
_atom_site_label
_atom_site_type_symbol
_atom_site_fract_x
_atom_site_fract_y
_atom_site_fract_z
Al1 Al 0.000 0.000 0.000
Re1 Re 0.500 0.500 0.500
Se1 Se 0.000 0.500 0.500
N1 N 0.500 0.500 0.000
# magnetic moment	0.0	μB per formula unit
# calculated density	6.9	g cm⁻³
# formation energy (no corrections)	293	meV/atom
# density of states at the Fermi level	2.38	states/eV/cell
# total DFT energy (no corrections)	-25.366	eV/atom

# 2
# Sr4SbTe, PBEsol geometry, DFT meta-GGA SCAN
data_Sr4SbTe
_chemical_formula_sum 'Sr16 Sb4 Te4'
_cell_length_a 9.454
_cell_length_b 9.454
_cell_length_c 9.454
_cell_angle_alpha 90.00
_cell_angle_beta 90.00
_cell_angle_gamma 90.00
_space_group_name_H-M_alt 'F -4 3 m'
_space_group_IT_number 216
_space_group_name_Hall 'F -4 2 3'
loop_
_atom_site_label
_atom_site_type_symbol
_atom_site_fract_x
_atom_site_fract_y
_atom_site_fract_z
Sr1 Sr 0.125 0.125 0.125
Sb1 Sb 0.250 0.250 0.750
Te1 Te 0.000 0.000 0.500
# magnetic moment	0.0	μB per formula unit
# calculated density	4.7	g cm⁻³
# formation energy (no corrections)	-139	meV/atom
# density of states at the Fermi level	12.65	states/eV/cell
# total DFT energy (no corrections)	-27.408	eV/atom

# 3
# CdHgAu2, PBEsol geometry, DFT meta-GGA SCAN
data_CdHgAu2
_chemical_formula_sum 'Cd2 Hg2 Au4'
_cell_length_a 5.977
_cell_length_b 7.926
_cell_length_c 3.121
_cell_angle_alpha 90.00
_cell_angle_beta 90.00
_cell_angle_gamma 90.00
_space_group_name_H-M_alt 'C m m m'
_space_group_IT_number 65
_space_group_name_Hall '-C 2 2'
loop_
_atom_site_label
_atom_site_type_symbol
_atom_site_fract_x
_atom_site_fract_y
_atom_site_fract_z
Cd1 Cd 0.000 0.000 0.000
Hg1 Hg 0.000 0.500 0.000
Au1 Au 0.250 0.250 0.500
# magnetic moment	0.0	μB per formula unit
# calculated formation energy	-44	meV per atom
# calculated density	15.9	g cm⁻³
# density of states at the Fermi level	2.26	states/eV/cell
# total DFT energy (no corrections)	-59.267	eV/atom

> Among the records above, which one has the highest total DFT energy (no corrections)?

AlReSe2N

> Which of these has the highest total DFT energy (no corrections)?

AlReSe2N

What did the third record say?
# CdHgAu2, PBEsol geometry, DFT meta-GGA SCAN
data_CdHgAu2
_chemical_formula_sum 'Cd2 Hg2 Au4'
_cell_length_a 5.977
_cell_length_b 7.926
_cell_length_c 3.121
_cell_angle_alpha 90.00
_cell_angle_beta 90.00
_cell_angle_gamma 90.00
_space_group_name_H-M_alt 'C m m m'
_space_group_IT_number 65
_space_group_name_Hall '-C 2 2'
loop_
_atom_site_label
_atom_site_type_symbol
_atom_site_fract_x
_atom_site_fract_y
_atom_site_fract_z
Cd1 Cd 0.000 0.000 0.000
Hg1 Hg 0.000 0.500 0.000
Au1 Au 0.250 0.250 0.500
# magnetic moment	0.0	μB per formula unit
# calculated formation energy	-44	meV per atom
# calculated density	15.9	g cm⁻³
# density of states at the Fermi level	2.26	states/eV/cell
# total DFT energy (no corrections)	-59.267	eV/atom